Below is crystalline Tb2Sm5Sn5 at its relaxed geometry, with properties calculated at the PBE-GGA level.

- N(E_F): 7.66 states/eV per cell
- Symmetry: C2/m
- Formation enthalpy at 0 K: -0.538 eV per atom
- Crystal system: monoclinic
- Final energy: -4.944 eV/atom

Cell: 7.7374 7.7374 12.7926 Å, 108.56 108.56 33.23°
With the nearest neighbours (Å) after each atom.
Atoms (fractional coordinates):
Tb 0.0509 0.0509 0.2856  4 Sn 3.01-3.08
Tb 0.9491 0.9491 0.7144  4 Sn 3.01-3.08
Sm 0.2732 0.2732 0.1547  5 Sn 3.07-3.27
Sm 0.3405 0.3405 0.4601  5 Sn 3.15-3.36
Sm 0.5000 0.5000 0.0000  4 Sn 3.13
Sm 0.6595 0.6595 0.5399  5 Sn 3.15-3.36
Sm 0.7268 0.7268 0.8453  5 Sn 3.07-3.27
Sn 0.0000 0.0000 0.5000  2 Tb 3.08, 4 Sm 3.15
Sn 0.1159 0.1159 0.9273  1 Tb 3.01, 5 Sm 3.07-3.14
Sn 0.3021 0.3021 0.7049  2 Tb 3.08, 5 Sm 3.27-3.36
Sn 0.6979 0.6979 0.2951  2 Tb 3.08, 5 Sm 3.27-3.36
Sn 0.8841 0.8841 0.0727  1 Tb 3.01, 5 Sm 3.07-3.14

***

Below is crystalline Th2As3IrRh4 at its relaxed geometry, with properties calculated at the PBE-GGA level.

- N(E_F): 6.17 states/eV per cell
- Symmetry: P-4m2
- Formation enthalpy at 0 K: -0.797 eV per atom
- Crystal system: tetragonal
- Final energy: -7.502 eV/atom

Cell: 4.0444 4.0444 11.3419 Å, 90.00 90.00 90.00°
With the nearest neighbours (Å) after each atom.
Atoms (fractional coordinates):
Th 0.0000 0.5000 0.2308  4 Rh 2.95, 6 As 3.29-3.31, 2 Ir 3.31
Th 0.5000 0.0000 0.7692  4 Rh 2.95, 6 As 3.29-3.31, 2 Ir 3.31
As 0.0000 0.0000 0.0000  4 Rh 2.76, 4 Ir 2.86
As 0.0000 0.5000 0.6253  5 Rh 2.37-2.47
As 0.5000 0.0000 0.3747  5 Rh 2.37-2.47
Ir 0.5000 0.5000 0.0000  4 Rh 2.76, 4 As 2.86
Rh 0.0000 0.0000 0.5000  4 As 2.47
Rh 0.0000 0.5000 0.8345  1 As 2.37
Rh 0.5000 0.0000 0.1655  1 As 2.37
Rh 0.5000 0.5000 0.5000  4 As 2.47

***

Below is crystalline Ho3Zn2Ga7 at its relaxed geometry, with properties calculated at the PBE-GGA level.

- N(E_F): 5.13 states/eV per cell
- Symmetry: Cmmm
- Formation enthalpy at 0 K: -0.468 eV per atom
- Polymorph energy (0 for the lowest one): 6 meV/atom
- Crystal system: orthorhombic
- Final energy: -3.590 eV/atom

Cell: 13.7366 13.7366 4.1046 Å, 90.00 90.00 162.50°
With the nearest neighbours (Å) after each atom.
Atoms (fractional coordinates):
Ho 0.0000 0.0000 0.0000  12 Ga 2.93-3.07
Ho 0.1773 0.8227 0.0000  4 Zn 3.10, 10 Ga 3.24-3.31
Ho 0.8227 0.1773 0.0000  4 Zn 3.10, 10 Ga 3.24-3.31
Zn 0.3599 0.6401 0.5000  5 Ga 2.38-2.59
Zn 0.6401 0.3599 0.5000  5 Ga 2.38-2.59
Ga 0.0839 0.9161 0.5000  2 Zn 2.59
Ga 0.2722 0.7278 0.5000  1 Zn 2.38, 2 Ga 2.41
Ga 0.4175 0.5825 0.0000  2 Zn 2.58
Ga 0.5000 0.5000 0.5000  4 Ho 2.93, 8 Ga 3.04-3.09
Ga 0.5825 0.4175 0.0000  2 Zn 2.58
Ga 0.7278 0.2722 0.5000  1 Zn 2.38, 2 Ga 2.41
Ga 0.9161 0.0839 0.5000  2 Zn 2.59

***

These records have magnetic moment values of 0.7, 0.0, 0.0 Bohr magnetons per cell, in the order they appear.